DFT (GGA-PBE) results for a relaxed CuRhPb crystal.

Computed properties:
- energy relative to the lowest polymorph listed for this composition (kcal/mol of atoms) = 0.55
- V (Å³ per atom) = 19.9
- calculated formation energy (meV per atom) = 164.7
- D(E_F) (states/eV/cell) = 1.7

Cell: 4.385 4.385 4.385 Å, 60.00 60.00 60.00°
Positions (direct):
Rh 0.750 0.750 0.750
Cu 0.000 0.000 0.000
Pb 0.500 0.500 0.500